<A>
Al3AgB after structural relaxation, computed with PBE.

Calculated values
symmetry: Pm-3m, No. 221

Unit cell a=4.790 b=4.790 c=4.790 alpha=90.00 beta=90.00 gamma=90.00
Fractional positions:
Al (0.000, 0.000, 0.500)
Al (0.000, 0.500, 0.000)
Al (0.500, 0.000, 0.000)
Ag (0.000, 0.000, 0.000)
B (0.500, 0.500, 0.500)

---

<B>
Al3AgB after structural relaxation, computed with PBE.

Calculated values
symmetry: Pm-3m, No. 221

Unit cell a=4.233 b=4.233 c=4.233 alpha=90.00 beta=90.00 gamma=90.00
Fractional positions:
Al (0.000, 0.000, 0.500)
Al (0.000, 0.500, 0.000)
Al (0.500, 0.000, 0.000)
Ag (0.500, 0.500, 0.500)
B (0.000, 0.000, 0.000)

---

Relative to the most stable one, in eV/atom, the structures come out at <A> 1.034; <B> 0.000.

---

<A>
AlAgB3 after structural relaxation, computed with PBE.

Calculated values
symmetry: Pm-3m, No. 221

Unit cell a=4.220 b=4.220 c=4.220 alpha=90.00 beta=90.00 gamma=90.00
Fractional positions:
Al (0.000, 0.000, 0.000)
Ag (0.500, 0.500, 0.500)
B (0.000, 0.500, 0.500)
B (0.500, 0.000, 0.500)
B (0.500, 0.500, 0.000)

---

<B>
AlAgB3 after structural relaxation, computed with PBE.

Calculated values
symmetry: Pm-3m, No. 221

Unit cell a=4.173 b=4.173 c=4.173 alpha=90.00 beta=90.00 gamma=90.00
Fractional positions:
Al (0.000, 0.000, 0.000)
Ag (0.500, 0.500, 0.500)
B (0.000, 0.000, 0.500)
B (0.000, 0.500, 0.000)
B (0.500, 0.000, 0.000)

---

Relative to the most stable one, in eV/atom, the structures come out at <A> 0.225; <B> 0.000.

---

<A>
BaAlAg3 after structural relaxation, computed with PBE.

Calculated values
symmetry: Pm-3m, No. 221

Unit cell a=6.185 b=6.185 c=6.185 alpha=90.00 beta=90.00 gamma=90.00
Fractional positions:
Ba (0.000, 0.000, 0.000)
Al (0.500, 0.500, 0.500)
Ag (0.000, 0.000, 0.500)
Ag (0.000, 0.500, 0.000)
Ag (0.500, 0.000, 0.000)

---

<B>
BaAlAg3 after structural relaxation, computed with PBE.

Calculated values
symmetry: Pm-3m, No. 221

Unit cell a=5.108 b=5.108 c=5.108 alpha=90.00 beta=90.00 gamma=90.00
Fractional positions:
Ba (0.000, 0.000, 0.000)
Al (0.500, 0.500, 0.500)
Ag (0.000, 0.500, 0.500)
Ag (0.500, 0.000, 0.500)
Ag (0.500, 0.500, 0.000)

---

Relative to the most stable one, in eV/atom, the structures come out at <A> 1.174; <B> 0.000.

---

<A>
BaAlAg3 after structural relaxation, computed with PBE.

Calculated values
symmetry: Cmcm, No. 63

Unit cell a=7.245 b=7.245 c=5.534 alpha=90.00 beta=90.00 gamma=124.89
Fractional positions:
Ba (0.110, 0.890, 0.750)
Ba (0.890, 0.110, 0.250)
Al (0.500, 0.500, 0.000)
Al (0.500, 0.500, 0.500)
Ag (0.137, 0.427, 0.750)
Ag (0.312, 0.688, 0.250)
Ag (0.427, 0.137, 0.250)
Ag (0.573, 0.863, 0.750)
Ag (0.688, 0.312, 0.750)
Ag (0.863, 0.573, 0.250)

---

<B>
BaAlAg3 after structural relaxation, computed with PBE.

Calculated values
symmetry: P2_1/c, No. 14

Unit cell a=9.235 b=5.889 c=12.728 alpha=90.00 beta=133.49 gamma=90.00
Fractional positions:
Ba (0.226, 0.156, 0.472)
Ba (0.226, 0.344, 0.972)
Ba (0.774, 0.656, 0.028)
Ba (0.774, 0.844, 0.528)
Al (0.283, 0.644, 0.682)
Al (0.283, 0.856, 0.182)
Al (0.717, 0.144, 0.818)
Al (0.717, 0.356, 0.318)
Ag (0.015, 0.161, 0.109)
Ag (0.015, 0.339, 0.609)
Ag (0.283, 0.652, 0.366)
Ag (0.283, 0.848, 0.866)
Ag (0.435, 0.209, 0.817)
Ag (0.435, 0.291, 0.317)
Ag (0.565, 0.709, 0.683)
Ag (0.565, 0.791, 0.183)
Ag (0.717, 0.152, 0.134)
Ag (0.717, 0.348, 0.634)
Ag (0.985, 0.661, 0.391)
Ag (0.985, 0.839, 0.891)

---

Relative to the most stable one, in eV/atom, the structures come out at <A> 0.000; <B> 0.049.

---

<A>
Ba3Al8Ag3 after structural relaxation, computed with PBE.

Calculated values
symmetry: Immm, No. 71

Unit cell a=9.085 b=9.085 c=9.085 alpha=151.25 beta=98.67 gamma=88.42
Fractional positions:
Ba (0.000, 0.000, 0.000)
Ba (0.295, 0.295, 0.000)
Ba (0.705, 0.705, 0.000)
Al (0.001, 0.315, 0.686)
Al (0.189, 0.890, 0.299)
Al (0.371, 0.685, 0.686)
Al (0.409, 0.110, 0.299)
Al (0.591, 0.890, 0.701)
Al (0.629, 0.315, 0.314)
Al (0.811, 0.110, 0.701)
Al (0.999, 0.685, 0.314)
Ag (0.275, 0.500, 0.775)
Ag (0.500, 0.000, 0.500)
Ag (0.725, 0.500, 0.225)

---

<B>
Ba3Al8Ag3 after structural relaxation, computed with PBE.

Calculated values
symmetry: C2/m, No. 12

Unit cell a=8.980 b=8.980 c=11.401 alpha=129.24 beta=129.24 gamma=29.57
Fractional positions:
Ba (0.000, 0.000, 0.000)
Ba (0.290, 0.290, 0.290)
Ba (0.710, 0.710, 0.710)
Al (0.111, 0.111, 0.819)
Al (0.117, 0.117, 0.404)
Al (0.326, 0.326, 0.652)
Al (0.499, 0.499, 0.686)
Al (0.501, 0.501, 0.314)
Al (0.674, 0.674, 0.348)
Al (0.883, 0.883, 0.596)
Al (0.889, 0.889, 0.181)
Ag (0.000, 0.000, 0.500)
Ag (0.321, 0.321, 0.016)
Ag (0.679, 0.679, 0.984)

---

Relative to the most stable one, in eV/atom, the structures come out at <A> 0.000; <B> 0.019.

---

<A>
BaAlAg4 after structural relaxation, computed with PBE.

Calculated values
symmetry: F-43m, No. 216

Unit cell a=5.782 b=5.782 c=5.782 alpha=60.00 beta=60.00 gamma=60.00
Fractional positions:
Ba (0.000, 0.000, 0.000)
Al (0.750, 0.750, 0.750)
Ag (0.376, 0.376, 0.376)
Ag (0.376, 0.376, 0.871)
Ag (0.376, 0.871, 0.376)
Ag (0.871, 0.376, 0.376)

---

<B>
BaAlAg4 after structural relaxation, computed with PBE.

Calculated values
symmetry: P-1, No. 2

Unit cell a=6.033 b=6.851 c=7.215 alpha=98.36 beta=94.17 gamma=100.47
Fractional positions:
Ba (0.181, 0.286, 0.431)
Ba (0.819, 0.714, 0.569)
Al (0.000, 0.500, 0.000)
Al (0.500, 0.000, 0.000)
Ag (0.148, 0.161, 0.910)
Ag (0.285, 0.756, 0.247)
Ag (0.364, 0.898, 0.636)
Ag (0.402, 0.596, 0.870)
Ag (0.598, 0.404, 0.130)
Ag (0.636, 0.102, 0.364)
Ag (0.715, 0.244, 0.753)
Ag (0.852, 0.839, 0.090)

---

Relative to the most stable one, in eV/atom, the structures come out at <A> 0.046; <B> 0.000.

---

<A>
BaAlCd2Ag after structural relaxation, computed with PBE.

Calculated values
symmetry: P4/mmm, No. 123

Unit cell a=5.324 b=5.324 c=5.163 alpha=90.00 beta=90.00 gamma=90.00
Fractional positions:
Ba (0.000, 0.000, 0.000)
Al (0.500, 0.500, 0.500)
Cd (0.000, 0.500, 0.500)
Cd (0.500, 0.000, 0.500)
Ag (0.500, 0.500, 0.000)

---

<B>
BaAlCd2Ag after structural relaxation, computed with PBE.

Calculated values
symmetry: Imm2, No. 44

Unit cell a=4.615 b=4.791 c=12.171 alpha=90.00 beta=90.00 gamma=90.00
Fractional positions:
Ba (0.000, 0.000, 0.000)
Ba (0.500, 0.500, 0.500)
Al (0.000, 0.500, 0.758)
Al (0.500, 0.000, 0.258)
Cd (0.000, 0.000, 0.615)
Cd (0.000, 0.500, 0.256)
Cd (0.500, 0.000, 0.756)
Cd (0.500, 0.500, 0.115)
Ag (0.000, 0.000, 0.378)
Ag (0.500, 0.500, 0.878)

---

Relative to the most stable one, in eV/atom, the structures come out at <A> 0.131; <B> 0.000.

---

<A>
BaAlAg2Hg after structural relaxation, computed with PBE.

Calculated values
symmetry: P4/mmm, No. 123

Unit cell a=5.344 b=5.344 c=6.214 alpha=90.00 beta=90.00 gamma=90.00
Fractional positions:
Ba (0.000, 0.000, 0.000)
Al (0.500, 0.500, 0.000)
Ag (0.000, 0.500, 0.500)
Ag (0.500, 0.000, 0.500)
Hg (0.000, 0.000, 0.500)

---

<B>
BaAlAg2Hg after structural relaxation, computed with PBE.

Calculated values
symmetry: P4/mmm, No. 123

Unit cell a=5.128 b=5.128 c=5.296 alpha=90.00 beta=90.00 gamma=90.00
Fractional positions:
Ba (0.000, 0.000, 0.000)
Al (0.500, 0.500, 0.500)
Ag (0.000, 0.500, 0.500)
Ag (0.500, 0.000, 0.500)
Hg (0.500, 0.500, 0.000)

---

Relative to the most stable one, in eV/atom, the structures come out at <A> 0.599; <B> 0.000.